## one
# La4SmDy4 (PBE-GGA, optimized geometry)
data_La4SmDy4
_cell_length_a 8.136
_cell_length_b 8.136
_cell_length_c 8.136
_cell_angle_alpha 95.79
_cell_angle_beta 95.79
_cell_angle_gamma 142.96
_symmetry_space_group_name_H-M 'P 1'
_symmetry_Int_Tables_number 1
_symmetry_space_group_name_Hall 'P 1'
loop_
_atom_site_label
_atom_site_type_symbol
_atom_site_fract_x
_atom_site_fract_y
_atom_site_fract_z
_atom_site_occupancy
La1 La 0.167 0.167 0.334 1
La2 La 0.167 0.833 0.000 1
La3 La 0.833 0.167 0.000 1
La4 La 0.833 0.833 0.666 1
Sm1 Sm 0.500 0.500 0.000 1
Dy1 Dy 0.163 0.500 0.663 1
Dy2 Dy 0.500 0.163 0.663 1
Dy3 Dy 0.500 0.837 0.337 1
Dy4 Dy 0.837 0.500 0.337 1
# DOS(E_F) (states/eV/atom): 1.610
# Volume (Å³/f.u.): 307.60

## two
# La4SmDy4 (PBE-GGA, optimized geometry)
data_La4SmDy4
_cell_length_a 9.131
_cell_length_b 8.298
_cell_length_c 6.839
_cell_angle_alpha 73.49
_cell_angle_beta 60.61
_cell_angle_gamma 45.90
_symmetry_space_group_name_H-M 'P 1'
_symmetry_Int_Tables_number 1
_symmetry_space_group_name_Hall 'P 1'
loop_
_atom_site_label
_atom_site_type_symbol
_atom_site_fract_x
_atom_site_fract_y
_atom_site_fract_z
_atom_site_occupancy
La1 La 0.000 0.000 0.000 1
La2 La 0.342 0.342 0.658 1
La3 La 0.417 0.417 0.083 1
La4 La 0.917 0.917 0.583 1
Sm1 Sm 0.545 0.545 0.455 1
Dy1 Dy 0.402 0.937 0.063 1
Dy2 Dy 0.535 0.930 0.465 1
Dy3 Dy 0.930 0.535 0.070 1
Dy4 Dy 0.937 0.402 0.598 1
# DOS(E_F) (states/eV/atom): 1.408
# Volume (Å³/f.u.): 322.82

Energy relative to the most stable one, in meV/atom: one 0; two 196

## one
# LaSm2Dy7 (PBE-GGA, optimized geometry)
data_LaSm2Dy7
_cell_length_a 6.194
_cell_length_b 7.156
_cell_length_c 8.015
_cell_angle_alpha 77.02
_cell_angle_beta 75.12
_cell_angle_gamma 73.34
_symmetry_space_group_name_H-M 'P 1'
_symmetry_Int_Tables_number 1
_symmetry_space_group_name_Hall 'P 1'
loop_
_atom_site_label
_atom_site_type_symbol
_atom_site_fract_x
_atom_site_fract_y
_atom_site_fract_z
_atom_site_occupancy
La1 La 0.000 0.000 0.000 1
Sm1 Sm 0.202 0.798 0.599 1
Sm2 Sm 0.798 0.202 0.401 1
Dy1 Dy 0.000 0.500 0.000 1
Dy2 Dy 0.199 0.302 0.599 1
Dy3 Dy 0.400 0.101 0.201 1
Dy4 Dy 0.402 0.598 0.200 1
Dy5 Dy 0.598 0.402 0.800 1
Dy6 Dy 0.600 0.899 0.799 1
Dy7 Dy 0.801 0.698 0.401 1
# DOS(E_F) (states/eV/atom): 1.394
# Volume (Å³/f.u.): 324.52

## two
# LaSm2Dy7 (PBE-GGA, optimized geometry)
data_LaSm2Dy7
_cell_length_a 9.275
_cell_length_b 9.275
_cell_length_c 5.582
_cell_angle_alpha 90.00
_cell_angle_beta 90.00
_cell_angle_gamma 124.11
_symmetry_space_group_name_H-M 'P 1'
_symmetry_Int_Tables_number 1
_symmetry_space_group_name_Hall 'P 1'
loop_
_atom_site_label
_atom_site_type_symbol
_atom_site_fract_x
_atom_site_fract_y
_atom_site_fract_z
_atom_site_occupancy
La1 La 0.000 0.000 0.000 1
Sm1 Sm 0.297 0.703 0.500 1
Sm2 Sm 0.703 0.297 0.500 1
Dy1 Dy 0.063 0.291 0.500 1
Dy2 Dy 0.216 0.784 0.000 1
Dy3 Dy 0.291 0.063 0.500 1
Dy4 Dy 0.500 0.500 0.500 1
Dy5 Dy 0.709 0.937 0.500 1
Dy6 Dy 0.784 0.216 0.000 1
Dy7 Dy 0.937 0.709 0.500 1
# DOS(E_F) (states/eV/atom): 1.434
# Volume (Å³/f.u.): 397.53

Energy relative to the most stable one, in meV/atom: one 0; two 662